1.
Below is a relaxed Tm3Sn2Au crystal, with properties calculated at the PBE level.

Results
Calculated total energy = -4.812 eV/atom
V = 625 Å³ per cell
Energy of formation from the pure elements = -0.696 eV/atom

Cell lengths 12.063, 4.503, 11.509 Å; angles 90.00, 90.00, 90.00 degrees
Space group Pnma (No. 62)
Asymmetric unit:
Tm 0.049 0.250 0.124 [4 per cell]
Tm 0.130 0.750 0.562 [4 per cell]
Tm 0.225 0.250 0.802 [4 per cell]
Sn 0.001 0.750 0.310 [4 per cell]
Sn 0.184 0.750 0.014 [4 per cell]
Au 0.132 0.250 0.363 [4 per cell]

2.
Below is a relaxed Na3Dy2RuO6 crystal, with properties calculated at the PBE level.

Results
ΔE_f (raw) = -26.151 eV/f.u.
Calculated total energy = -6.528 eV/atom
V = 314 Å³ per cell

Cell lengths 5.718, 9.800, 5.895 Å; angles 90.00, 108.31, 90.00 degrees
Space group C2/m (No. 12)
Asymmetric unit:
Na 0.000 0.000 0.000 [2 per cell]
Na 0.000 0.342 0.000 [4 per cell]
Dy 0.000 0.170 0.500 [4 per cell]
Ru 0.000 0.500 0.500 [2 per cell]
O 0.234 0.341 0.718 [8 per cell]
O 0.245 0.500 0.292 [4 per cell]

3.
Below is a relaxed RbZn3As3 crystal, with properties calculated at the PBE level.

Results
Calculated total energy = -2.911 eV/atom
V = 354 Å³ per cell
Energy of formation from the pure elements = -0.234 eV/atom

Cell lengths 7.071, 7.071, 7.071 Å; angles 90.00, 90.00, 90.00 degrees
Space group Pm-3n (No. 223)
Asymmetric unit:
Rb 0.000 0.000 0.000 [2 per cell]
Zn 0.000 0.250 0.500 [6 per cell]
As 0.000 0.500 0.250 [6 per cell]

4.
Below is a relaxed CdWAu2 crystal, with properties calculated at the PBE level.

Results
Calculated total energy = -4.580 eV/atom
V = 145 Å³ per cell
Energy of formation from the pure elements = 0.526 eV/atom

Cell lengths 4.419, 4.419, 7.405 Å; angles 90.00, 90.00, 90.00 degrees
Space group I4/mmm (No. 139)
Asymmetric unit:
Cd 0.000 0.000 0.000 [2 per cell]
W 0.000 0.000 0.500 [2 per cell]
Au 0.000 0.500 0.250 [4 per cell]